# PBE Cu2TcHgPb, optimized geometry
data_Cu2TcHgPb
_chemical_formula_sum 'Cu2 Tc1 Hg1 Pb1'
_cell_length_a 4.788
_cell_length_b 4.788
_cell_length_c 5.652
_cell_angle_alpha 90.00
_cell_angle_beta 90.00
_cell_angle_gamma 90.00
_space_group_name_H-M_alt 'P 4/m m m'
_space_group_IT_number 123
_space_group_name_Hall '-P 4 2'
loop_
_atom_site_label
_atom_site_fract_x
_atom_site_fract_y
_atom_site_fract_z
Cu1 0.000 0.500 0.000
Tc1 0.000 0.000 0.500
Hg1 0.500 0.500 0.000
Pb1 0.500 0.500 0.500
# DFT formation energy	7.098	eV per formula unit
# E	-3.094	eV per atom

***

# PBE TlCuHgPb2, optimized geometry
data_TlCuHgPb2
_chemical_formula_sum 'Tl1 Cu1 Hg1 Pb2'
_cell_length_a 5.338
_cell_length_b 5.338
_cell_length_c 5.123
_cell_angle_alpha 90.00
_cell_angle_beta 90.00
_cell_angle_gamma 90.00
_space_group_name_H-M_alt 'P 4/m m m'
_space_group_IT_number 123
_space_group_name_Hall '-P 4 2'
loop_
_atom_site_label
_atom_site_fract_x
_atom_site_fract_y
_atom_site_fract_z
Tl1 0.000 0.000 0.000
Cu1 0.500 0.500 0.500
Hg1 0.500 0.500 0.000
Pb1 0.000 0.500 0.500
# DFT formation energy	0.891	eV per formula unit
# E	-2.658	eV per atom

***

Question: Number 2 is which compound?
Answer: TlCuHgPb2

***

Question: What is the formula in the second record?
Answer: TlCuHgPb2